The following is a GGA-PBE calculation of Pr3ErPb3 after structural relaxation, from the Alexandria database.

Cell: 6.9331 6.9331 9.8234 Å, 90.38 90.38 104.50°
Element x y z (fractional)
Pr  0.5766  0.5766  0.3103
Pr  0.1842  0.8158  0.5000
Pr  0.8158  0.1842  0.5000
Pr  0.2302  0.7698  0.0000
Pr  0.7698  0.2302  0.0000
Pr  0.4234  0.4234  0.6897
Er  0.7119  0.7119  0.9652
Er  0.2881  0.2881  0.0348
Pb  0.9626  0.9626  0.2326
Pb  0.9533  0.5228  0.7415
Pb  0.5228  0.9533  0.7415
Pb  0.0467  0.4772  0.2585
Pb  0.4772  0.0467  0.2585
Pb  0.0374  0.0374  0.7674

Values from the calculation:
The final energy is -4.659 eV/atom. Its space group is No. 12. As for the total magnetization: 0.00 μB/atom. For the formation energy, the calculation gives -0.37 eV/atom.

The following is a GGA-PBE calculation of FeTeSN2 after structural relaxation, from the Alexandria database.

Cell: 3.5628 3.5628 7.1665 Å, 90.00 90.00 90.00°
Site moments in Bohr magnetons follow the coordinates.
Element x y z (fractional)
S  0.0000  0.0000  0.0000  -0.02
Te  0.0000  0.0000  0.5000  0.15
Fe  0.5000  0.5000  0.5000  2.82
N  0.0000  0.5000  0.0000  0.01
N  0.5000  0.0000  0.0000  0.01

Values from the calculation:
The final energy is -4.869 eV/atom. Its space group is No. 123. As for the total magnetization: 0.65 μB/atom.

The following is a GGA-PBE calculation of K3Ni2H9 after structural relaxation, from the Alexandria database.

Cell: 5.6097 5.6097 14.0835 Å, 90.00 90.00 120.00°
Site moments in Bohr magnetons follow the coordinates.
Element x y z (fractional)
K  0.0000  0.0000  0.7500  0.01
K  0.0000  0.0000  0.2500  0.01
K  0.6667  0.3333  0.9239  0.01
K  0.3333  0.6667  0.0761  0.01
K  0.3333  0.6667  0.4239  0.01
K  0.6667  0.3333  0.5761  0.01
Ni  0.6667  0.3333  0.1666  0.26
Ni  0.3333  0.6667  0.8334  0.26
Ni  0.3333  0.6667  0.6666  0.26
Ni  0.6667  0.3333  0.3334  0.26
H  0.4548  0.9097  0.7500  -0.01
H  0.0903  0.5452  0.7500  -0.01
H  0.4548  0.5452  0.7500  -0.01
H  0.5452  0.0903  0.2500  -0.01
H  0.9097  0.4548  0.2500  -0.01
H  0.5452  0.4548  0.2500  -0.01
H  0.2047  0.4094  0.8973  0.02
H  0.5906  0.7953  0.8973  0.02
H  0.2047  0.7953  0.8973  0.02
H  0.7953  0.5906  0.1027  0.02
H  0.4094  0.2047  0.1027  0.02
H  0.7953  0.2047  0.1027  0.02
H  0.7953  0.5906  0.3973  0.02
H  0.4094  0.2047  0.3973  0.02
H  0.7953  0.2047  0.3973  0.02
H  0.2047  0.4094  0.6027  0.02
H  0.5906  0.7953  0.6027  0.02
H  0.2047  0.7953  0.6027  0.02

Values from the calculation:
The final energy is -3.361 eV/atom. Its space group is No. 194. As for the total magnetization: 0.07 μB/atom.

The following is a GGA-PBE calculation of BaCa5P4 after structural relaxation, from the Alexandria database.

Cell: 4.4767 8.1777 9.5258 Å, 115.42 103.59 90.00°
Element x y z (fractional)
Ba  0.5000  0.0000  0.0000
Ca  0.8336  0.0599  0.6673
Ca  0.8336  0.6074  0.6673
Ca  0.1664  0.3926  0.3327
Ca  0.1664  0.9401  0.3327
Ca  0.5000  0.5000  0.0000
P  0.0000  0.7260  0.0000
P  0.2864  0.7864  0.5728
P  0.7136  0.2136  0.4272
P  0.0000  0.2740  0.0000

Values from the calculation:
The final energy is -4.388 eV/atom. Its space group is No. 71. As for the total magnetization: 0.00 μB/atom. For the formation energy, the calculation gives -1.03 eV/atom.

The following is a GGA-PBE calculation of Sr2MnAlS5 after structural relaxation, from the Alexandria database.

Cell: 3.8731 8.7585 12.2333 Å, 90.00 90.00 102.77°
Site moments in Bohr magnetons follow the coordinates.
Element x y z (fractional)
Sr  0.8667  0.7334  0.8156  0.01
Sr  0.1197  0.2394  0.6853  0.01
Sr  0.1333  0.2666  0.3156  0.01
Sr  0.8803  0.7606  0.1853  0.01
Mn  0.7894  0.5787  0.5285  3.68
Mn  0.2106  0.4213  0.0285  3.68
Al  0.5687  0.1375  0.9356  0.00
Al  0.4313  0.8625  0.4356  0.00
S  0.3459  0.6918  0.0060  -0.02
S  0.6932  0.3865  0.8765  0.02
S  0.4992  0.9983  0.7834  0.00
S  0.2903  0.5806  0.6532  0.02
S  0.9385  0.8770  0.5400  -0.03
S  0.6541  0.3082  0.5060  -0.02
S  0.3068  0.6135  0.3765  0.02
S  0.5008  0.0017  0.2834  0.00
S  0.7097  0.4194  0.1532  0.02
S  0.0615  0.1230  0.0400  -0.03

Values from the calculation:
The final energy is -5.483 eV/atom. Its space group is No. 36. As for the total magnetization: 0.44 μB/atom.

The following is a GGA-PBE calculation of Co2WS after structural relaxation, from the Alexandria database.

Cell: 5.1794 5.1794 6.1774 Å, 65.21 65.21 90.00°
Element x y z (fractional)
S  0.5000  0.5000  0.0000
S  0.2500  0.7500  0.5000
Co  0.5926  0.1250  0.2500
Co  0.1574  0.6250  0.2500
Co  0.3750  0.4074  0.7500
Co  0.8750  0.8426  0.7500
W  0.0000  0.0000  0.0000
W  0.7500  0.2500  0.5000

Values from the calculation:
The final energy is -7.300 eV/atom. Its space group is No. 122. As for the total magnetization: 0.00 μB/atom.

The following is a GGA-PBE calculation of LaAlO3 after structural relaxation, from the Alexandria database.

Cell: 7.1180 7.1180 7.1180 Å, 60.00 60.00 60.00°
Site moments in Bohr magnetons follow the coordinates.
Element x y z (fractional)
Al  0.1250  0.1250  0.1250  0.00
Al  0.1250  0.6250  0.1250  0.00
Al  0.6250  0.1250  0.1250  0.00
Al  0.1250  0.1250  0.6250  0.00
O  0.7957  0.2043  0.2043  -0.08
O  0.0457  0.4543  0.4543  -0.09
O  0.4543  0.4543  0.0457  -0.06
O  0.4543  0.0457  0.0457  -0.08
O  0.0457  0.4543  0.0457  -0.09
O  0.7957  0.2043  0.7957  -0.08
O  0.4543  0.0457  0.4543  -0.08
O  0.0457  0.0457  0.4543  -0.07
O  0.2043  0.7957  0.2043  -0.09
O  0.2043  0.7957  0.7957  -0.09
O  0.2043  0.2043  0.7957  -0.07
O  0.7957  0.7957  0.2043  -0.06
La  0.6250  0.6250  0.6250  0.07
La  0.6250  0.1250  0.6250  0.07
La  0.1250  0.6250  0.6250  0.03
La  0.6250  0.6250  0.1250  0.07

Values from the calculation:
The final energy is -7.404 eV/atom. Its space group is No. 227. As for the total magnetization: 0.02 μB/atom.

The following is a GGA-PBE calculation of Be2IrAu after structural relaxation, from the Alexandria database.

Cell: 3.9143 3.9143 7.9594 Å, 75.77 75.77 90.00°
Element x y z (fractional)
Be  0.5663  0.1250  0.2500
Be  0.1837  0.6250  0.2500
Be  0.3750  0.4337  0.7500
Be  0.8750  0.8163  0.7500
Ir  0.5000  0.5000  0.0000
Ir  0.2500  0.7500  0.5000
Au  0.0000  0.0000  0.0000
Au  0.7500  0.2500  0.5000

Values from the calculation:
The final energy is -4.718 eV/atom. Its space group is No. 122. As for the total magnetization: 0.00 μB/atom. For the formation energy, the calculation gives 0.18 eV/atom.